# 1
## LaTh2Sc (GGA-PBE)

Data for crystalline LaTh2Sc at its relaxed geometry.

Calculated values
Calculated formation energy = 46 meV/atom
Offset from the most stable computed form = 0 meV/atom

Lattice parameters (Å, degrees): 3.581 3.581 19.578 90.00 90.00 90.00
Positions (direct):
La 0.250 0.250 0.078
La 0.750 0.750 0.922
Th 0.250 0.250 0.562
Th 0.250 0.250 0.795
Th 0.750 0.750 0.205
Th 0.750 0.750 0.438
Sc 0.250 0.250 0.319
Sc 0.750 0.750 0.681

***

# 2
## Sr2Cd6Rh3 (GGA-PBE)

Data for crystalline Sr2Cd6Rh3 at its relaxed geometry.

Calculated values
Calculated formation energy = -166 meV/atom

Lattice parameters (Å, degrees): 8.253 8.253 4.499 90.00 90.00 120.00
Positions (direct):
Sr 0.333 0.667 0.000
Sr 0.667 0.333 0.000
Cd 0.000 0.287 0.500
Cd 0.000 0.794 0.000
Cd 0.206 0.206 0.000
Cd 0.287 0.000 0.500
Cd 0.713 0.713 0.500
Cd 0.794 0.000 0.000
Rh 0.000 0.617 0.500
Rh 0.383 0.383 0.500
Rh 0.617 0.000 0.500

***

# 3
## NpTcC (GGA-PBE)

Data for crystalline NpTcC at its relaxed geometry.

Calculated values
Calculated formation energy = 241 meV/atom
Offset from the most stable computed form = 0 meV/atom

Lattice parameters (Å, degrees): 7.250 6.505 5.720 72.42 58.81 48.77
Positions (direct):
Np 0.000 0.000 0.000
Np 0.000 0.000 0.500
Np 0.000 0.500 0.000
Np 0.500 0.000 0.000
Tc 0.250 0.250 0.500
Tc 0.500 0.500 0.250
Tc 0.500 0.500 0.750
Tc 0.750 0.750 0.500
C 0.206 0.544 0.206
C 0.456 0.794 0.456
C 0.544 0.206 0.544
C 0.794 0.456 0.794

***

# 4
## PmThS3 (GGA-PBE)

Data for crystalline PmThS3 at its relaxed geometry.

Calculated values
Uncorrected formation energy = -2.014 eV per atom
Offset from the most stable computed form = 0 meV/atom

Lattice parameters (Å, degrees): 7.526 4.018 15.348 90.00 90.00 90.00
Positions (direct):
Pm 0.241 0.250 0.044
Pm 0.259 0.750 0.544
Pm 0.741 0.250 0.456
Pm 0.759 0.750 0.956
Th 0.126 0.750 0.292
Th 0.374 0.250 0.792
Th 0.626 0.750 0.208
Th 0.874 0.250 0.708
S 0.008 0.750 0.110
S 0.127 0.250 0.429
S 0.152 0.750 0.723
S 0.348 0.250 0.223
S 0.373 0.750 0.929
S 0.492 0.250 0.610
S 0.508 0.750 0.390
S 0.627 0.250 0.071
S 0.652 0.750 0.777
S 0.848 0.250 0.277
S 0.873 0.750 0.571
S 0.992 0.250 0.890

***

# 5
## CuW3I (GGA-PBE)

Data for crystalline CuW3I at its relaxed geometry.

Calculated values
Uncorrected formation energy = 2.969 eV per atom
Offset from the most stable computed form = 745 meV/atom

Lattice parameters (Å, degrees): 4.847 4.847 4.847 90.00 90.00 90.00
Positions (direct):
Cu 0.000 0.000 0.000
W 0.000 0.500 0.500
W 0.500 0.000 0.500
W 0.500 0.500 0.000
I 0.500 0.500 0.500

***

# 6
## TlHgBr2 (GGA-PBE)

Data for crystalline TlHgBr2 at its relaxed geometry.

Calculated values
Uncorrected formation energy = -0.445 eV per atom
Offset from the most stable computed form = 76 meV/atom

Lattice parameters (Å, degrees): 9.483 9.483 9.483 139.52 139.52 58.58
Positions (direct):
Tl 0.000 0.000 0.000
Tl 0.750 0.250 0.500
Hg 0.250 0.750 0.500
Hg 0.500 0.500 0.000
Br 0.175 0.625 0.050
Br 0.375 0.425 0.550
Br 0.575 0.125 0.950
Br 0.875 0.825 0.450

***

Calculated volume (computed, Å³/atom): 31.4; 24.1; 14.4; 23.2; 22.8; 44.5